## CaPrN (PBE-GGA)

Data for crystalline CaPrN at its relaxed geometry.

Output
energy above the lowest structure with this stoichiometry	70	meV per atom

Lattice parameters (Å, degrees): 6.317 3.668 3.668 120.00 90.00 90.00
Element x y z (fractional)
Pr (0.122, 0.000, 0.000)
Ca (0.560, 0.667, 0.333)
N (0.318, 0.333, 0.667)



## CaPr5N4 (PBE-GGA)

Data for crystalline CaPr5N4 at its relaxed geometry.

Lattice parameters (Å, degrees): 3.446 9.407 9.407 55.34 79.44 79.44
Element x y z (fractional)
N (0.250, 0.287, 0.713)
N (0.250, 0.713, 0.287)
N (0.393, 0.857, 0.857)
N (0.107, 0.143, 0.143)
Pr (0.616, 0.330, 0.938)
Pr (0.884, 0.062, 0.670)
Pr (0.884, 0.670, 0.062)
Pr (0.616, 0.938, 0.330)
Pr (0.750, 0.500, 0.500)
Ca (0.250, 0.000, 0.000)



## CaPrN (PBE-GGA)

Data for crystalline CaPrN at its relaxed geometry.

Output
energy above the lowest structure with this stoichiometry	574	meV per atom

Lattice parameters (Å, degrees): 4.376 4.376 4.376 60.00 60.00 60.00
Element x y z (fractional)
Pr (0.000, 0.000, 0.000)
N (0.250, 0.250, 0.250)
Ca (0.500, 0.500, 0.500)



## Ca7PrN3 (PBE-GGA)

Data for crystalline Ca7PrN3 at its relaxed geometry.

Lattice parameters (Å, degrees): 6.337 7.315 7.315 120.00 90.00 90.00
Element x y z (fractional)
N (0.775, 0.008, 0.504)
N (0.775, 0.496, 0.992)
N (0.775, 0.496, 0.504)
Ca (0.566, 0.825, 0.650)
Ca (0.566, 0.825, 0.175)
Ca (0.008, 0.174, 0.826)
Ca (0.566, 0.350, 0.175)
Ca (0.008, 0.174, 0.348)
Ca (0.993, 0.667, 0.333)
Ca (0.008, 0.652, 0.826)
Pr (0.576, 0.333, 0.667)



## CaPrN (PBE-GGA)

Data for crystalline CaPrN at its relaxed geometry.

Output
energy above the lowest structure with this stoichiometry	0	meV per atom

Lattice parameters (Å, degrees): 3.750 3.750 10.381 90.01 90.01 90.00
Element x y z (fractional)
N (0.750, 0.750, 0.878)
N (0.250, 0.250, 0.122)
Ca (0.750, 0.750, 0.642)
Ca (0.250, 0.250, 0.358)
Pr (0.250, 0.250, 0.885)
Pr (0.750, 0.750, 0.115)



## CaPrN (PBE-GGA)

Data for crystalline CaPrN at its relaxed geometry.

Output
energy above the lowest structure with this stoichiometry	1150	meV per atom

Lattice parameters (Å, degrees): 4.895 4.895 5.162 118.30 118.30 90.00
Element x y z (fractional)
N (0.615, 0.615, 0.229)
Ca (0.894, 0.894, 0.789)
Pr (0.341, 0.341, 0.682)



## CaPr2N2 (PBE-GGA)

Data for crystalline CaPr2N2 at its relaxed geometry.

Lattice parameters (Å, degrees): 7.255 7.255 6.904 105.18 105.18 120.11
Element x y z (fractional)
Pr (0.003, 0.997, 0.500)
Pr (0.247, 0.753, 0.000)
Pr (0.753, 0.247, 0.000)
Pr (0.497, 0.503, 0.500)
N (0.625, 0.375, 0.250)
N (0.125, 0.375, 0.750)
N (0.625, 0.375, 0.750)
N (0.625, 0.875, 0.250)
Ca (0.750, 0.250, 0.500)
Ca (0.500, 0.500, 0.000)



## Ca3PrPu2N6 (PBE-GGA)

Data for crystalline Ca3PrPu2N6 at its relaxed geometry.

Lattice parameters (Å, degrees): 3.544 7.054 7.852 102.52 103.04 90.00
Element x y z (fractional)
Ca (0.831, 0.168, 0.662)
Ca (0.169, 0.832, 0.338)
Ca (0.500, 0.500, 0.000)
N (0.679, 0.567, 0.358)
N (0.332, 0.885, 0.664)
N (0.321, 0.433, 0.642)
N (0.018, 0.261, 0.037)
N (0.668, 0.115, 0.336)
N (0.982, 0.739, 0.963)
Pu (0.833, 0.666, 0.665)
Pu (0.167, 0.334, 0.335)
Pr (0.500, 0.000, 0.000)



Asked for density of states at the Fermi level across the records above, the calculation gives 2.37; 6.95; 2.37; 6.01; 1.79; 3.11; 1.69; 12.72 states/eV/f.u. in order.
Asked for energy relative to the elements, uncorrected across the records above, the calculation gives -750; -529; -246; -609; -820; 330; -578; -1158 meV per atom in order.